Entry 1:
A plane-wave DFT calculation with GGA-PBEsol was carried out for a geometry-optimized Lu2CoIr structure.

a b c (Å): 4.6126 4.6126 4.6126
angles (deg): 60.00 60.00 60.00
Element x y z (fractional)
Lu (0.2500, 0.2500, 0.2500)
Lu (0.7500, 0.7500, 0.7500)
Co (0.0000, 0.0000, 0.0000)
Ir (0.5000, 0.5000, 0.5000)

Summary:
total magnetic moment	0.32	μB per cell
energy of formation from the pure elements	-0.6414	eV per atom

Entry 2:
A plane-wave DFT calculation with GGA-PBEsol was carried out for a geometry-optimized KBe2PtSe structure.

a b c (Å): 4.3071 4.3071 5.5166
angles (deg): 90.00 90.00 90.00
Element x y z (fractional)
K (0.0000, 0.0000, 0.0000)
Be (0.0000, 0.5000, 0.5000)
Be (0.5000, 0.0000, 0.5000)
Pt (0.5000, 0.5000, 0.0000)
Se (0.0000, 0.0000, 0.5000)

Summary:
total magnetic moment	0.00	μB per cell
energy relative to the elements, uncorrected	0.8475	eV per atom

Entry 3:
A plane-wave DFT calculation with GGA-PBEsol was carried out for a geometry-optimized CaCd2Pb structure.

a b c (Å): 3.7046 3.7046 7.4059
angles (deg): 90.00 90.00 90.00
Element x y z (fractional)
Ca (0.0000, 0.0000, 0.0000)
Cd (0.0000, 0.0000, 0.4616)
Cd (0.5000, 0.5000, 0.2648)
Pb (0.5000, 0.5000, 0.7115)

Summary:
total magnetic moment	0.00	μB per cell
energy of formation from the pure elements	-0.2128	eV per atom

Entry 4:
A plane-wave DFT calculation with GGA-PBEsol was carried out for a geometry-optimized BaSr2Ca structure.

a b c (Å): 4.7301 4.7301 8.9845
angles (deg): 90.00 90.00 90.00
Element x y z (fractional)
Ba (0.0000, 0.0000, 0.0000)
Sr (0.5000, 0.5000, 0.2673)
Sr (0.5000, 0.5000, 0.7327)
Ca (0.0000, 0.0000, 0.5000)

Summary:
total magnetic moment	0.00	μB per cell
energy of formation from the pure elements	0.0163	eV per atom

Entry 5:
A plane-wave DFT calculation with GGA-PBEsol was carried out for a geometry-optimized ScSiOF2 structure.

a b c (Å): 4.0858 4.0858 4.0601
angles (deg): 90.00 90.00 90.00
Element x y z (fractional)
Sc (0.0000, 0.0000, 0.0000)
Si (0.5000, 0.5000, 0.5000)
O (0.0000, 0.0000, 0.5000)
F (0.0000, 0.5000, 0.0000)
F (0.5000, 0.0000, 0.0000)

Summary:
total magnetic moment	0.01	μB per cell
energy relative to the elements, uncorrected	-2.1495	eV per atom

Entry 6:
A plane-wave DFT calculation with GGA-PBEsol was carried out for a geometry-optimized BeFe4 structure.

a b c (Å): 4.2637 4.2637 4.2637
angles (deg): 109.47 109.47 109.47
Element x y z (fractional)
Be (0.0000, 0.0000, 0.0000)
Fe (0.0000, 0.0000, 0.5000)
Fe (0.0000, 0.5000, 0.0000)
Fe (0.5000, 0.0000, 0.0000)
Fe (0.5000, 0.5000, 0.5000)

Summary:
total magnetic moment	9.68	μB per cell
energy of formation from the pure elements	0.7029	eV per atom

Entry 7:
A plane-wave DFT calculation with GGA-PBEsol was carried out for a geometry-optimized CoAgRu2 structure.

a b c (Å): 4.4355 4.4355 2.7470
angles (deg): 90.00 90.00 90.00
Element x y z (fractional)
Co (0.0000, 0.0000, 0.0000)
Ag (0.5000, 0.5000, 0.0000)
Ru (0.0000, 0.5000, 0.5000)
Ru (0.5000, 0.0000, 0.5000)

Summary:
total magnetic moment	2.03	μB per cell
energy of formation from the pure elements	0.7429	eV per atom

Entry 8:
A plane-wave DFT calculation with GGA-PBEsol was carried out for a geometry-optimized CsTe2Pd2 structure.

a b c (Å): 7.4704 7.4704 7.4704
angles (deg): 144.73 144.73 50.74
Element x y z (fractional)
Cs (0.0000, 0.0000, 0.0000)
Te (0.3525, 0.3525, 0.0000)
Te (0.6475, 0.6475, 0.0000)
Pd (0.2500, 0.7500, 0.5000)
Pd (0.7500, 0.2500, 0.5000)

Summary:
total magnetic moment	0.00	μB per cell
energy relative to the elements, uncorrected	-0.5143	eV per atom

Entry 9:
A plane-wave DFT calculation with GGA-PBEsol was carried out for a geometry-optimized TiTeIr3 structure.

a b c (Å): 4.7560 4.7560 4.7560
angles (deg): 90.00 90.00 90.00
Element x y z (fractional)
Ti (0.0000, 0.0000, 0.0000)
Te (0.5000, 0.5000, 0.5000)
Ir (0.0000, 0.5000, 0.5000)
Ir (0.5000, 0.0000, 0.5000)
Ir (0.5000, 0.5000, 0.0000)

Summary:
total magnetic moment	1.46	μB per cell
energy relative to the elements, uncorrected	1.6332	eV per atom

Entry 10:
A plane-wave DFT calculation with GGA-PBEsol was carried out for a geometry-optimized ZrMoPd2 structure.

a b c (Å): 4.5369 4.5369 4.5369
angles (deg): 60.00 60.00 60.00
Element x y z (fractional)
Zr (0.0000, 0.0000, 0.0000)
Mo (0.5000, 0.5000, 0.5000)
Pd (0.2500, 0.2500, 0.2500)
Pd (0.7500, 0.7500, 0.7500)

Summary:
total magnetic moment	0.01	μB per cell
energy of formation from the pure elements	-0.0443	eV per atom

Entry 11:
A plane-wave DFT calculation with GGA-PBEsol was carried out for a geometry-optimized BaZrS3 structure.

a b c (Å): 7.0713 9.9277 6.9458
angles (deg): 90.00 90.00 90.00
Element x y z (fractional)
Ba (0.0512, 0.2500, 0.0115)
Ba (0.4488, 0.7500, 0.5115)
Ba (0.5512, 0.2500, 0.4885)
Ba (0.9488, 0.7500, 0.9885)
Zr (0.0000, 0.0000, 0.5000)
Zr (0.0000, 0.5000, 0.5000)
Zr (0.5000, 0.0000, 0.0000)
Zr (0.5000, 0.5000, 0.0000)
S (0.0043, 0.7500, 0.4374)
S (0.2097, 0.5329, 0.7906)
S (0.2097, 0.9671, 0.7906)
S (0.2903, 0.0329, 0.2906)
S (0.2903, 0.4671, 0.2906)
S (0.4957, 0.2500, 0.9374)
S (0.5043, 0.7500, 0.0626)
S (0.7097, 0.5329, 0.7094)
S (0.7097, 0.9671, 0.7094)
S (0.7903, 0.0329, 0.2094)
S (0.7903, 0.4671, 0.2094)
S (0.9957, 0.2500, 0.5626)

Summary:
total magnetic moment	0.00	μB per cell
energy relative to the elements, uncorrected	-1.8686	eV per atom

Entry 12:
A plane-wave DFT calculation with GGA-PBEsol was carried out for a geometry-optimized AgAu2Br structure.

a b c (Å): 3.9138 3.9257 4.9273
angles (deg): 90.00 90.00 90.00
Element x y z (fractional)
Ag (0.0000, 0.0000, 0.0000)
Au (0.0000, 0.5000, 0.5000)
Au (0.5000, 0.0000, 0.5000)
Br (0.5000, 0.5000, 0.0000)

Summary:
total magnetic moment	0.00	μB per cell
energy relative to the elements, uncorrected	0.2165	eV per atom

Entry 13:
A plane-wave DFT calculation with GGA-PBEsol was carried out for a geometry-optimized ZrBrCl structure.

a b c (Å): 4.5905 4.5905 4.5905
angles (deg): 60.00 60.00 60.00
Element x y z (fractional)
Zr (0.0000, 0.0000, 0.0000)
Br (0.7500, 0.7500, 0.7500)
Cl (0.2500, 0.2500, 0.2500)

Summary:
total magnetic moment	2.00	μB per cell
energy relative to the elements, uncorrected	-0.9561	eV per atom